8
Lattice="-2.609 -0.324 -3.266 -0.525 -3.698 -1.904 -7.638 -3.213 3.729" Properties=species:S:1:pos:R:3 comment="NpGa4Cu2Rh (GGA-PBE, optimized geometry)" dft_energy_ev_per_cell=-42.078 m_tot_mub_per_cell=4.16 sg="R-3m (166)" ef_ev_per_atom=-0.186 pbc="T T T"
Np 0.000 0.000 0.000
Ga -7.361 -4.179 0.913
Ga -5.674 -4.743 -3.070
Ga -5.098 -2.492 1.629
Ga -3.410 -3.057 -2.354
Cu -7.841 -5.359 -1.277
Cu -2.930 -1.876 -0.164
Rh -5.386 -3.618 -0.720

=====

4
Lattice="5.354 0.000 0.000 2.677 4.636 0.000 2.677 1.545 3.838" Properties=species:S:1:pos:R:3 comment="EuLu2Ru (GGA-PBE, optimized geometry)" dft_energy_ev_per_cell=-28.486 polymorph_energy_kj_per_mol_atoms=31.15 m_tot_mub_per_cell=7.10 sg="R-3m (166)" ef_ev_per_atom=0.027 pbc="T T T"
Eu 5.354 3.091 1.919
Ru 0.000 0.000 0.000
Lu 2.677 1.545 1.132
Lu 8.031 4.636 2.706

=====

4
Lattice="2.457 -4.664 1.449 -2.395 -1.021 4.808 -1.883 0.663 -5.090" Properties=species:S:1:pos:R:3 comment="ZnPPb2 (GGA-PBE, optimized geometry)" dft_energy_ev_per_cell=-12.907 polymorph_energy_kj_per_mol_atoms=20.77 m_tot_mub_per_cell=0.00 sg="Immm (71)" ef_ev_per_atom=0.298 pbc="T T T"
Zn -2.139 -0.179 -0.141
P 0.287 -2.000 -1.821
Pb 0.046 -4.217 4.641
Pb 0.016 -1.468 1.615

=====

4
Lattice="5.403 0.003 -0.089 2.254 4.910 0.089 -3.773 -2.542 2.915" Properties=species:S:1:pos:R:3 comment="CaFe2Te (GGA-PBE, optimized geometry)" dft_energy_ev_per_cell=-20.975 polymorph_energy_kj_per_mol_atoms=37.47 m_tot_mub_per_cell=5.24 sg="Immm (71)" formation_energy_uncorrected_kcal_per_mol_atoms=6.31 pbc="T T T"
Ca 2.729 -0.042 1.413
Te 1.155 2.412 1.502
Fe 0.002 0.001 0.000
Fe 3.827 2.455 0.000

=====

Question: Number 3 is which compound?
Answer: ZnPPb2